Density functional theory data (PBE-GGA) for crystalline Nd2Zn2FeNi5 at its relaxed geometry.

Cell and atoms, written as CIF:
```
data_Nd2Zn2FeNi5
_space_group_name_H-M_alt 'P 4/m b m'
_space_group_IT_number 127
_space_group_name_Hall '-P 4 2ab'
_cell_length_a 9.565
_cell_length_b 9.565
_cell_length_c 3.450
_cell_angle_alpha 90.00
_cell_angle_beta 90.00
_cell_angle_gamma 90.00
loop_
_atom_site_label
_atom_site_type_symbol
_atom_site_fract_x
_atom_site_fract_y
_atom_site_fract_z
Nd1 Nd 0.177 0.323 0.000
Zn1 Zn 0.122 0.622 0.000
Fe1 Fe 0.000 0.000 0.000
Ni1 Ni 0.000 0.500 0.500
Ni2 Ni 0.053 0.810 0.500
```

Results
* energy relative to the elements: -0.0867 eV per atom